# 1
Compound: EuMgZn
Source: the Alexandria database
Functional: PBE
Structure: optimized geometry

size of the total moment = 29.72 μB/cell
crystal system = cubic
ΔH_f (0 K) = -0.1 eV per formula unit

```
data_EuMgZn
_chemical_formula_sum 'Eu4 Mg4 Zn4'
_space_group_name_H-M_alt 'F -4 3 m'
_space_group_IT_number 216
_space_group_name_Hall 'F -4 2 3'
_cell_length_a 7.022
_cell_length_b 7.022
_cell_length_c 7.022
_cell_angle_alpha 90.00
_cell_angle_beta 90.00
_cell_angle_gamma 90.00
loop_
_atom_site_label
_atom_site_type_symbol
_atom_site_fract_x
_atom_site_fract_y
_atom_site_fract_z
_atom_site_occupancy
Eu1 Eu 0.000 0.000 0.000 1
Mg1 Mg 0.000 0.000 0.500 1
Zn1 Zn 0.250 0.250 0.750 1
```

# 2
Compound: MnInCo
Source: the Alexandria database
Functional: PBE
Structure: optimized geometry

offset from the most stable computed form = 118 meV/atom
size of the total moment = 4.61 μB/cell
crystal system = trigonal
ΔH_f (0 K) = 0.6 eV per formula unit

```
data_MnInCo
_chemical_formula_sum 'Mn1 In1 Co1'
_space_group_name_H-M_alt 'P 3 m 1'
_space_group_IT_number 156
_space_group_name_Hall 'P 3 -2"'
_cell_length_a 4.2831
_cell_length_b 4.2831
_cell_length_c 2.8510
_cell_angle_alpha 90.00
_cell_angle_beta 90.00
_cell_angle_gamma 120.00
loop_
_atom_site_label
_atom_site_type_symbol
_atom_site_fract_x
_atom_site_fract_y
_atom_site_fract_z
_atom_site_occupancy
Mn1 Mn 0.0000 0.0000 0.0000 1
In1 In 0.6667 0.3333 0.5805 1
Co1 Co 0.3333 0.6667 0.2056 1
```

# 3
Compound: SrP2HS
Source: the Alexandria database
Functional: PBE
Structure: optimized geometry

offset from the most stable computed form = 1370 meV/atom
size of the total moment = 5.27 μB/cell
crystal system = tetragonal

```
data_SrP2HS
_chemical_formula_sum 'Sr1 P2 H1 S1'
_space_group_name_H-M_alt 'P 4/m m m'
_space_group_IT_number 123
_space_group_name_Hall '-P 4 2'
_cell_length_a 6.290
_cell_length_b 6.290
_cell_length_c 5.661
_cell_angle_alpha 90.00
_cell_angle_beta 90.00
_cell_angle_gamma 90.00
loop_
_atom_site_label
_atom_site_type_symbol
_atom_site_fract_x
_atom_site_fract_y
_atom_site_fract_z
_atom_site_occupancy
Sr1 Sr 0.000 0.000 0.000 1
P1 P 0.000 0.500 0.000 1
H1 H 0.500 0.500 0.500 1
S1 S 0.000 0.000 0.500 1
```

# 4
Compound: KMnBe2
Source: the Alexandria database
Functional: PBE
Structure: optimized geometry

offset from the most stable computed form = 467 meV/atom
size of the total moment = 7.63 μB/cell
crystal system = orthorhombic
ΔH_f (0 K) = 3.7 eV per formula unit

```
data_KMnBe2
_chemical_formula_sum 'K2 Mn2 Be4'
_space_group_name_H-M_alt 'I m m 2'
_space_group_IT_number 44
_space_group_name_Hall 'I 2 -2'
_cell_length_a 2.720
_cell_length_b 5.295
_cell_length_c 9.740
_cell_angle_alpha 90.00
_cell_angle_beta 90.00
_cell_angle_gamma 90.00
loop_
_atom_site_label
_atom_site_type_symbol
_atom_site_fract_x
_atom_site_fract_y
_atom_site_fract_z
_atom_site_occupancy
K1 K 0.000 0.000 0.000 1
Mn1 Mn 0.000 0.500 0.818 1
Be1 Be 0.000 0.000 0.523 1
Be2 Be 0.000 0.500 0.200 1
```

# 5
Compound: LaSnF
Source: the Alexandria database
Functional: PBE
Structure: optimized geometry

offset from the most stable computed form = 0 meV/atom
formation energy without anion corrections = -6.0 eV per formula unit
size of the total moment = 0.00 μB/cell
crystal system = hexagonal

```
data_LaSnF
_chemical_formula_sum 'La3 Sn3 F3'
_space_group_name_H-M_alt 'P -6 2 m'
_space_group_IT_number 189
_space_group_name_Hall 'P -6 -2'
_cell_length_a 6.5416
_cell_length_b 6.5416
_cell_length_c 5.9967
_cell_angle_alpha 90.00
_cell_angle_beta 90.00
_cell_angle_gamma 120.00
loop_
_atom_site_label
_atom_site_type_symbol
_atom_site_fract_x
_atom_site_fract_y
_atom_site_fract_z
_atom_site_occupancy
La1 La 0.0000 0.0000 0.0000 1
La2 La 0.3333 0.6667 0.5000 1
Sn1 Sn 0.0000 0.5144 0.0000 1
F1 F 0.0000 0.2766 0.5000 1
```

# 6
Compound: SrHoCdAg
Source: the Alexandria database
Functional: PBE
Structure: optimized geometry

size of the total moment = 0.00 μB/cell
crystal system = cubic
ΔH_f (0 K) = -0.9 eV per formula unit

```
data_SrHoCdAg
_chemical_formula_sum 'Sr4 Ho4 Cd4 Ag4'
_space_group_name_H-M_alt 'F -4 3 m'
_space_group_IT_number 216
_space_group_name_Hall 'F -4 2 3'
_cell_length_a 7.628
_cell_length_b 7.628
_cell_length_c 7.628
_cell_angle_alpha 90.00
_cell_angle_beta 90.00
_cell_angle_gamma 90.00
loop_
_atom_site_label
_atom_site_type_symbol
_atom_site_fract_x
_atom_site_fract_y
_atom_site_fract_z
_atom_site_occupancy
Sr1 Sr 0.000 0.000 0.000 1
Ho1 Ho 0.000 0.000 0.500 1
Cd1 Cd 0.250 0.250 0.250 1
Ag1 Ag 0.250 0.250 0.750 1
```

# 7
Compound: CuTc2
Source: the Alexandria database
Functional: PBE
Structure: optimized geometry

offset from the most stable computed form = 452 meV/atom
size of the total moment = 0.00 μB/cell
crystal system = hexagonal
ΔH_f (0 K) = 1.6 eV per formula unit

```
data_CuTc2
_chemical_formula_sum 'Cu4 Tc8'
_space_group_name_H-M_alt 'P 63/m m c'
_space_group_IT_number 194
_space_group_name_Hall '-P 6c 2c'
_cell_length_a 5.1483
_cell_length_b 5.1483
_cell_length_c 8.0020
_cell_angle_alpha 90.00
_cell_angle_beta 90.00
_cell_angle_gamma 120.00
loop_
_atom_site_label
_atom_site_type_symbol
_atom_site_fract_x
_atom_site_fract_y
_atom_site_fract_z
_atom_site_occupancy
Cu1 Cu 0.3333 0.6667 0.0795 1
Tc1 Tc 0.0000 0.0000 0.0000 1
Tc2 Tc 0.1764 0.3528 0.7500 1
```

# 8
Compound: CaNd4Y
Source: the Alexandria database
Functional: PBE
Structure: optimized geometry

offset from the most stable computed form = 0 meV/atom
size of the total moment = 0.00 μB/cell
crystal system = monoclinic
ΔH_f (0 K) = 0.2 eV per formula unit

```
data_CaNd4Y
_chemical_formula_sum 'Ca1 Nd4 Y1'
_space_group_name_H-M_alt 'P 1 2/m 1'
_space_group_IT_number 10
_space_group_name_Hall '-P 2y'
_cell_length_a 3.648
_cell_length_b 5.249
_cell_length_c 11.111
_cell_angle_alpha 90.00
_cell_angle_beta 90.05
_cell_angle_gamma 90.00
loop_
_atom_site_label
_atom_site_type_symbol
_atom_site_fract_x
_atom_site_fract_y
_atom_site_fract_z
_atom_site_occupancy
Ca1 Ca 0.000 0.000 0.000 1
Nd1 Nd 0.001 0.000 0.661 1
Nd2 Nd 0.499 0.500 0.180 1
Y1 Y 0.500 0.500 0.500 1
```

# 9
Compound: Sc2TiBePt
Source: the Alexandria database
Functional: PBE
Structure: optimized geometry

size of the total moment = 0.94 μB/cell
crystal system = tetragonal
ΔH_f (0 K) = 0.5 eV per formula unit

```
data_Sc2TiBePt
_chemical_formula_sum 'Sc2 Ti1 Be1 Pt1'
_space_group_name_H-M_alt 'P 4/m m m'
_space_group_IT_number 123
_space_group_name_Hall '-P 4 2'
_cell_length_a 4.674
_cell_length_b 4.674
_cell_length_c 4.295
_cell_angle_alpha 90.00
_cell_angle_beta 90.00
_cell_angle_gamma 90.00
loop_
_atom_site_label
_atom_site_type_symbol
_atom_site_fract_x
_atom_site_fract_y
_atom_site_fract_z
_atom_site_occupancy
Sc1 Sc 0.000 0.500 0.000 1
Ti1 Ti 0.000 0.000 0.500 1
Be1 Be 0.000 0.000 0.000 1
Pt1 Pt 0.500 0.500 0.500 1
```

# 10
Compound: Rb3Pm3NbO8
Source: the Alexandria database
Functional: PBE
Structure: optimized geometry

formation energy without anion corrections = -38.4 eV per formula unit
size of the total moment = 3.03 μB/cell
crystal system = trigonal

```
data_Rb3Pm3NbO8
_chemical_formula_sum 'Rb9 Pm9 Nb3 O24'
_space_group_name_H-M_alt 'R -3 m'
_space_group_IT_number 166
_space_group_name_Hall '-R 3 2"'
_cell_length_a 7.0624
_cell_length_b 7.0624
_cell_length_c 19.8275
_cell_angle_alpha 90.00
_cell_angle_beta 90.00
_cell_angle_gamma 120.00
loop_
_atom_site_label
_atom_site_type_symbol
_atom_site_fract_x
_atom_site_fract_y
_atom_site_fract_z
_atom_site_occupancy
Rb1 Rb 0.0000 0.5000 0.0000 1
Pm1 Pm 0.0000 0.5000 0.5000 1
Nb1 Nb 0.0000 0.0000 0.5000 1
O1 O 0.0000 0.0000 0.2267 1
O2 O 0.0309 0.5155 0.2208 1
```

# 11
Compound: ScNb2Cl2
Source: the Alexandria database
Functional: PBE
Structure: optimized geometry

offset from the most stable computed form = 0 meV/atom
formation energy without anion corrections = 0.3 eV per formula unit
size of the total moment = 0.00 μB/cell
crystal system = tetragonal

```
data_ScNb2Cl2
_chemical_formula_sum 'Sc2 Nb4 Cl4'
_space_group_name_H-M_alt 'I 4/m m m'
_space_group_IT_number 139
_space_group_name_Hall '-I 4 2'
_cell_length_a 4.387
_cell_length_b 4.387
_cell_length_c 11.112
_cell_angle_alpha 90.00
_cell_angle_beta 90.00
_cell_angle_gamma 90.00
loop_
_atom_site_label
_atom_site_type_symbol
_atom_site_fract_x
_atom_site_fract_y
_atom_site_fract_z
_atom_site_occupancy
Sc1 Sc 0.000 0.000 0.000 1
Nb1 Nb 0.000 0.000 0.395 1
Cl1 Cl 0.000 0.500 0.250 1
```

# 12
Compound: Y6AlAg2
Source: the Alexandria database
Functional: PBE
Structure: optimized geometry

size of the total moment = 0.00 μB/cell
crystal system = orthorhombic
ΔH_f (0 K) = -1.9 eV per formula unit

```
data_Y6AlAg2
_chemical_formula_sum 'Y24 Al4 Ag8'
_space_group_name_H-M_alt 'I m m m'
_space_group_IT_number 71
_space_group_name_Hall '-I 2 2'
_cell_length_a 9.801
_cell_length_b 10.021
_cell_length_c 10.093
_cell_angle_alpha 90.00
_cell_angle_beta 90.00
_cell_angle_gamma 90.00
loop_
_atom_site_label
_atom_site_type_symbol
_atom_site_fract_x
_atom_site_fract_y
_atom_site_fract_z
_atom_site_occupancy
Y1 Y 0.000 0.224 0.174 1
Y2 Y 0.178 0.233 0.500 1
Y3 Y 0.198 0.500 0.254 1
Al1 Al 0.000 0.500 0.000 1
Al2 Al 0.000 0.500 0.500 1
Ag1 Ag 0.000 0.000 0.365 1
Ag2 Ag 0.146 0.000 0.000 1
```

# 13
Compound: K6BaNa2
Source: the Alexandria database
Functional: PBE
Structure: optimized geometry

size of the total moment = 0.00 μB/cell
crystal system = tetragonal
ΔH_f (0 K) = 0.5 eV per formula unit

```
data_K6BaNa2
_chemical_formula_sum 'K6 Ba1 Na2'
_space_group_name_H-M_alt 'P 4/m m m'
_space_group_IT_number 123
_space_group_name_Hall '-P 4 2'
_cell_length_a 6.041
_cell_length_b 6.041
_cell_length_c 15.558
_cell_angle_alpha 90.00
_cell_angle_beta 90.00
_cell_angle_gamma 90.00
loop_
_atom_site_label
_atom_site_type_symbol
_atom_site_fract_x
_atom_site_fract_y
_atom_site_fract_z
_atom_site_occupancy
K1 K 0.000 0.000 0.000 1
K2 K 0.000 0.500 0.236 1
K3 K 0.500 0.500 0.000 1
Ba1 Ba 0.000 0.000 0.500 1
Na1 Na 0.500 0.500 0.399 1
```

# 14
Compound: Ac2TbGd
Source: the Alexandria database
Functional: PBE
Structure: optimized geometry

offset from the most stable computed form = 7 meV/atom
size of the total moment = 21.62 μB/cell
crystal system = trigonal
ΔH_f (0 K) = 0.2 eV per formula unit

```
data_Ac2TbGd
_chemical_formula_sum 'Ac6 Tb3 Gd3'
_space_group_name_H-M_alt 'R -3 m'
_space_group_IT_number 166
_space_group_name_Hall '-R 3 2"'
_cell_length_a 3.8141
_cell_length_b 3.8141
_cell_length_c 36.1673
_cell_angle_alpha 90.00
_cell_angle_beta 90.00
_cell_angle_gamma 120.00
loop_
_atom_site_label
_atom_site_type_symbol
_atom_site_fract_x
_atom_site_fract_y
_atom_site_fract_z
_atom_site_occupancy
Ac1 Ac 0.0000 0.0000 0.2504 1
Tb1 Tb 0.0000 0.0000 0.0000 1
Gd1 Gd 0.0000 0.0000 0.5000 1
```

# 15
Compound: SmMg3Rh4
Source: the Alexandria database
Functional: PBE
Structure: optimized geometry

size of the total moment = 0.00 μB/cell
crystal system = tetragonal
ΔH_f (0 K) = -4.4 eV per formula unit

```
data_SmMg3Rh4
_chemical_formula_sum 'Sm1 Mg3 Rh4'
_space_group_name_H-M_alt 'P 4/m m m'
_space_group_IT_number 123
_space_group_name_Hall '-P 4 2'
_cell_length_a 4.546
_cell_length_b 4.546
_cell_length_c 6.476
_cell_angle_alpha 90.00
_cell_angle_beta 90.00
_cell_angle_gamma 90.00
loop_
_atom_site_label
_atom_site_type_symbol
_atom_site_fract_x
_atom_site_fract_y
_atom_site_fract_z
_atom_site_occupancy
Sm1 Sm 0.000 0.000 0.000 1
Mg1 Mg 0.000 0.000 0.500 1
Mg2 Mg 0.500 0.500 0.000 1
Mg3 Mg 0.500 0.500 0.500 1
Rh1 Rh 0.000 0.500 0.265 1
```

# 16
Compound: SrCa2Be
Source: the Alexandria database
Functional: PBE
Structure: optimized geometry

size of the total moment = 0.00 μB/cell
crystal system = tetragonal
ΔH_f (0 K) = 1.7 eV per formula unit

```
data_SrCa2Be
_chemical_formula_sum 'Sr1 Ca2 Be1'
_space_group_name_H-M_alt 'P 4/m m m'
_space_group_IT_number 123
_space_group_name_Hall '-P 4 2'
_cell_length_a 4.915
_cell_length_b 4.915
_cell_length_c 5.527
_cell_angle_alpha 90.00
_cell_angle_beta 90.00
_cell_angle_gamma 90.00
loop_
_atom_site_label
_atom_site_type_symbol
_atom_site_fract_x
_atom_site_fract_y
_atom_site_fract_z
_atom_site_occupancy
Sr1 Sr 0.000 0.000 0.000 1
Ca1 Ca 0.000 0.500 0.500 1
Be1 Be 0.500 0.500 0.000 1
```

# 17
Compound: Sm8Tl2In3
Source: the Alexandria database
Functional: PBE
Structure: optimized geometry

size of the total moment = 2.09 μB/cell
crystal system = monoclinic
ΔH_f (0 K) = -2.3 eV per formula unit

```
data_Sm8Tl2In3
_chemical_formula_sum 'Sm16 Tl4 In6'
_space_group_name_H-M_alt 'C 1 2/m 1'
_space_group_IT_number 12
_space_group_name_Hall '-C 2y'
_cell_length_a 16.567
_cell_length_b 8.825
_cell_length_c 5.645
_cell_angle_alpha 90.00
_cell_angle_beta 90.02
_cell_angle_gamma 90.00
loop_
_atom_site_label
_atom_site_type_symbol
_atom_site_fract_x
_atom_site_fract_y
_atom_site_fract_z
_atom_site_occupancy
Sm1 Sm 0.104 0.000 0.000 1
Sm2 Sm 0.114 0.290 0.500 1
Sm3 Sm 0.185 0.500 0.001 1
Tl1 Tl 0.225 0.000 0.499 1
In1 In 0.000 0.000 0.500 1
In2 In 0.000 0.328 0.000 1
```

# 18
Compound: MgMnNbRh
Source: the Alexandria database
Functional: PBE
Structure: optimized geometry

size of the total moment = 4.40 μB/cell
crystal system = cubic
ΔH_f (0 K) = -0.5 eV per formula unit

```
data_MgMnNbRh
_chemical_formula_sum 'Mg4 Mn4 Nb4 Rh4'
_space_group_name_H-M_alt 'F -4 3 m'
_space_group_IT_number 216
_space_group_name_Hall 'F -4 2 3'
_cell_length_a 6.234
_cell_length_b 6.234
_cell_length_c 6.234
_cell_angle_alpha 90.00
_cell_angle_beta 90.00
_cell_angle_gamma 90.00
loop_
_atom_site_label
_atom_site_type_symbol
_atom_site_fract_x
_atom_site_fract_y
_atom_site_fract_z
_atom_site_occupancy
Mg1 Mg 0.000 0.000 0.000 1
Mn1 Mn 0.250 0.250 0.250 1
Nb1 Nb 0.000 0.000 0.500 1
Rh1 Rh 0.250 0.250 0.750 1
```

# 19
Compound: FeTcP2
Source: the Alexandria database
Functional: PBE
Structure: optimized geometry

offset from the most stable computed form = 105 meV/atom
size of the total moment = 1.13 μB/cell
crystal system = orthorhombic
ΔH_f (0 K) = -1.2 eV per formula unit

```
data_FeTcP2
_chemical_formula_sum 'Fe1 Tc1 P2'
_space_group_name_H-M_alt 'P m m 2'
_space_group_IT_number 25
_space_group_name_Hall 'P 2 -2'
_cell_length_a 2.923
_cell_length_b 4.294
_cell_length_c 3.968
_cell_angle_alpha 90.00
_cell_angle_beta 90.00
_cell_angle_gamma 90.00
loop_
_atom_site_label
_atom_site_type_symbol
_atom_site_fract_x
_atom_site_fract_y
_atom_site_fract_z
_atom_site_occupancy
Fe1 Fe 0.000 0.000 0.000 1
Tc1 Tc 0.500 0.500 0.264 1
P1 P 0.000 0.500 0.762 1
P2 P 0.500 0.000 0.531 1
```